Compound: HfSbTe2Ru
Source: the Alexandria database
Functional: PBE-GGA
Structure: relaxed

Calculated values
Symmetry   P4/mmm
Energy above the most stable polymorph in this dataset   278 meV per atom
Formation energy from raw total energies   896.9 meV/atom

a b c (Å): 5.475 5.475 5.515
angles (deg): 90.00 90.00 90.00
Element x y z (fractional)
Hf  0.000  0.000  0.000
Sb  0.000  0.000  0.500
Te  0.000  0.500  0.000
Te  0.500  0.000  0.000
Ru  0.500  0.500  0.500

Compound: HfSbTe2Ru
Source: the Alexandria database
Functional: PBE-GGA
Structure: relaxed

Calculated values
Symmetry   P4/mmm
Energy above the most stable polymorph in this dataset   955 meV per atom
Formation energy from raw total energies   1573.8 meV/atom

a b c (Å): 5.663 5.663 5.367
angles (deg): 90.00 90.00 90.00
Element x y z (fractional)
Hf  0.000  0.000  0.000
Sb  0.000  0.000  0.500
Te  0.000  0.500  0.500
Te  0.500  0.000  0.500
Ru  0.500  0.500  0.000

Which value of formation energy from raw total energies does entry 1 give?
896.9 meV/atom

What is the formula in the second record?
HfSbTe2Ru

Copy entry 2 word for word.
Compound: HfSbTe2Ru
Source: the Alexandria database
Functional: PBE-GGA
Structure: relaxed

Calculated values
Symmetry   P4/mmm
Energy above the most stable polymorph in this dataset   955 meV per atom
Formation energy from raw total energies   1573.8 meV/atom

a b c (Å): 5.663 5.663 5.367
angles (deg): 90.00 90.00 90.00
Element x y z (fractional)
Hf  0.000  0.000  0.000
Sb  0.000  0.000  0.500
Te  0.000  0.500  0.500
Te  0.500  0.000  0.500
Ru  0.500  0.500  0.000